# 1
First-principles (GGA-PBEsol) data for a relaxed structure of MgTl2Pb, as listed in Alexandria.

Geometry as extended XYZ:
```
4
Lattice="3.3714 -0.0484 0.0000 -1.2735 3.1220 0.0000 0.0000 0.0000 10.4196" Properties=species:S:1:pos:R:3 pbc="T T T"
Pb 1.0490 1.5368 2.7633
Tl 1.0490 1.5368 7.6631
Tl 0.0000 0.0000 10.3761
Mg 0.0000 0.0000 5.2465
```

Calculated values
The density of states at the Fermi level comes out at 0.470 states/eV/atom. The formation energy is 2 meV per atom.



# 2
First-principles (GGA-PBEsol) data for a relaxed structure of MgTl2Pb, as listed in Alexandria.

Geometry as extended XYZ:
```
4
Lattice="-3.1132 1.3840 -1.4624 -1.5656 -4.9235 -1.3267 -2.4991 -0.5090 4.8383" Properties=species:S:1:pos:R:3 pbc="T T T"
Pb -2.0323 -2.7163 1.7558
Mg -2.8062 0.4375 1.6879
Tl -2.3394 -1.7697 -1.3946
Tl 0.0000 0.0000 0.0000
```

Calculated values
The density of states at the Fermi level comes out at 0.491 states/eV/atom. The formation energy is -4 meV per atom.



# 3
First-principles (GGA-PBEsol) data for a relaxed structure of MgTl2Pb, as listed in Alexandria.

Geometry as extended XYZ:
```
4
Lattice="3.3697 0.1607 0.0000 -0.8875 5.8379 0.0000 -1.2411 -2.9993 5.4911" Properties=species:S:1:pos:R:3 pbc="T T T"
Tl -0.6206 -1.4997 2.7455
Tl 0.6206 1.4997 2.7455
Pb 1.6849 0.0804 0.0000
Mg -0.4437 2.9190 0.0000
```

Calculated values
The density of states at the Fermi level comes out at 0.467 states/eV/atom. The formation energy is 15 meV per atom.



# 4
First-principles (GGA-PBEsol) data for a relaxed structure of MgTl2Pb, as listed in Alexandria.

Geometry as extended XYZ:
```
4
Lattice="3.4085 0.0000 0.0000 -1.7042 5.5276 -0.0382 0.0000 -1.2218 5.7210" Properties=species:S:1:pos:R:3 pbc="T T T"
Mg 1.7042 -0.5934 2.8597
Tl 1.7042 4.2975 5.6557
Tl 0.0000 1.7625 4.2422
Pb 1.7042 2.5342 1.4684
```

Calculated values
The density of states at the Fermi level comes out at 0.432 states/eV/atom. The formation energy is -16 meV per atom.



# 5
First-principles (GGA-PBEsol) data for a relaxed structure of MgTl2Pb, as listed in Alexandria.

Geometry as extended XYZ:
```
4
Lattice="3.4436 0.0000 0.0000 1.7218 2.9822 0.0000 1.7218 0.9941 10.4699" Properties=species:S:1:pos:R:3 pbc="T T T"
Mg 3.4436 1.9881 5.2350
Tl 1.7218 0.9941 2.7775
Tl 5.1654 2.9822 7.6925
Pb 0.0000 0.0000 0.0000
```

Calculated values
The density of states at the Fermi level comes out at 0.480 states/eV/atom. The formation energy is -18 meV per atom.



# 6
First-principles (GGA-PBEsol) data for a relaxed structure of MgTl2Pb, as listed in Alexandria.

Geometry as extended XYZ:
```
4
Lattice="-0.6780 -1.7282 2.8154 3.2310 0.9146 -0.3110 -2.0440 8.9139 4.9792" Properties=species:S:1:pos:R:3 pbc="T T T"
Tl -0.5434 2.3699 1.3238
Tl -1.5006 6.5440 3.6554
Mg 0.2545 4.0502 3.7418
Pb 1.2765 -0.4068 1.2522
```

Calculated values
The density of states at the Fermi level comes out at 0.420 states/eV/atom. The formation energy is 9 meV per atom.



# 7
First-principles (GGA-PBEsol) data for a relaxed structure of MgTl2Pb, as listed in Alexandria.

Geometry as extended XYZ:
```
4
Lattice="-2.1800 2.7625 1.1277 -2.7506 -2.4018 0.5663 2.4409 -1.0668 7.3320" Properties=species:S:1:pos:R:3 pbc="T T T"
Tl 0.5518 -0.2411 1.6573
Tl 1.8892 -0.8257 5.6747
Mg -2.4653 0.1803 0.8470
Pb -1.2448 -0.3531 4.5130
```

Calculated values
The density of states at the Fermi level comes out at 0.423 states/eV/atom. The formation energy is -18 meV per atom.



# 8
First-principles (GGA-PBEsol) data for a relaxed structure of MgTl2Pb, as listed in Alexandria.

Geometry as extended XYZ:
```
4
Lattice="3.4794 0.0000 0.0000 0.0000 5.5731 0.0000 -1.7397 -2.7866 5.5357" Properties=species:S:1:pos:R:3 pbc="T T T"
Tl 0.0000 0.0000 2.5889
Tl 1.7397 2.7866 2.9468
Pb 0.0000 2.7866 0.0000
Mg 1.7397 0.0000 0.0000
```

Calculated values
The density of states at the Fermi level comes out at 0.410 states/eV/atom. The formation energy is -17 meV per atom.



# 9
First-principles (GGA-PBEsol) data for a relaxed structure of MgPbW2, as listed in Alexandria.

Geometry as extended XYZ:
```
4
Lattice="-2.5784 -1.2311 1.7359 -1.3943 -2.2638 -3.6764 4.5956 -1.9245 2.2417" Properties=species:S:1:pos:R:3 pbc="T T T"
Pb -1.2892 -0.6155 0.8680
W -0.6749 -3.5931 -0.3311
W 1.2977 -1.8263 0.6324
Mg -0.6972 -1.1319 -1.8382
```

Calculated values
For the energy relative to the lowest polymorph listed for this composition, the calculation gives 22 meV/atom. The density of states at the Fermi level comes out at 0.509 states/eV/atom. The formation energy is 764 meV per atom.



# 10
First-principles (GGA-PBEsol) data for a relaxed structure of MgPbW2, as listed in Alexandria.

Geometry as extended XYZ:
```
4
Lattice="3.1722 0.0000 0.0000 0.0000 4.7894 -0.0493 -1.5861 -0.7245 4.8612" Properties=species:S:1:pos:R:3 pbc="T T T"
Mg 0.0000 2.3947 -0.0247
Pb 1.5861 0.0000 0.0000
W 0.0000 1.0093 2.4202
W 1.5861 3.0556 2.3917
```

Calculated values
For the energy relative to the lowest polymorph listed for this composition, the calculation gives 0 meV/atom. The density of states at the Fermi level comes out at 0.756 states/eV/atom. The formation energy is 742 meV per atom.



# 11
First-principles (GGA-PBEsol) data for a relaxed structure of MgPb3W, as listed in Alexandria.

Geometry as extended XYZ:
```
5
Lattice="-0.4671 -0.2559 5.2714 3.0917 -4.3021 0.0651 4.2772 3.0818 0.5285" Properties=species:S:1:pos:R:3 pbc="T T T"
Pb 1.5459 -2.1511 0.0326
Pb -0.2335 -0.1279 2.6357
Pb 2.1386 1.5409 0.2643
W 3.4509 -0.7381 2.9325
Mg 0.0000 0.0000 0.0000
```

Calculated values
The density of states at the Fermi level comes out at 0.629 states/eV/atom. The formation energy is 1578 meV per atom.



# 12
First-principles (GGA-PBEsol) data for a relaxed structure of YMgPb, as listed in Alexandria.

Geometry as extended XYZ:
```
3
Lattice="5.0526 0.0000 0.0000 2.5263 4.3757 0.0000 2.5263 1.4586 4.1254" Properties=species:S:1:pos:R:3 pbc="T T T"
Mg 0.0000 0.0000 0.0000
Pb 5.0526 2.9171 2.0627
Y 7.5789 4.3757 3.0941
```

Calculated values
The density of states at the Fermi level comes out at 0.702 states/eV/atom. The formation energy is 40 meV per atom.